#i
# MoS2ICl (PBE, relaxed)
data_MoS2ICl
_chemical_formula_sum 'Mo1 S2 I1 Cl1'
_cell_length_a 5.145
_cell_length_b 5.145
_cell_length_c 5.321
_cell_angle_alpha 90.00
_cell_angle_beta 90.00
_cell_angle_gamma 90.00
_symmetry_space_group_name_H-M 'P 4/m m m'
_symmetry_Int_Tables_number 123
_symmetry_space_group_name_Hall '-P 4 2'
loop_
_atom_site_label
_atom_site_type_symbol
_atom_site_fract_x
_atom_site_fract_y
_atom_site_fract_z
Mo1 Mo 0.000 0.000 0.000
S1 S 0.000 0.500 0.500
I1 I 0.500 0.500 0.500
Cl1 Cl 0.500 0.500 0.000
# - magnetization (μB per atom) = 0.874
# - density of states at the Fermi level (states/eV per cell) = 4.6
# - V (Å³ per cell) = 140.8

#ii
# MoS2ICl (PBE, relaxed)
data_MoS2ICl
_chemical_formula_sum 'Mo1 S2 I1 Cl1'
_cell_length_a 4.759
_cell_length_b 4.759
_cell_length_c 4.847
_cell_angle_alpha 90.00
_cell_angle_beta 90.00
_cell_angle_gamma 90.00
_symmetry_space_group_name_H-M 'P 4/m m m'
_symmetry_Int_Tables_number 123
_symmetry_space_group_name_Hall '-P 4 2'
loop_
_atom_site_label
_atom_site_type_symbol
_atom_site_fract_x
_atom_site_fract_y
_atom_site_fract_z
Mo1 Mo 0.000 0.000 0.000
S1 S 0.000 0.500 0.000
I1 I 0.500 0.500 0.500
Cl1 Cl 0.000 0.000 0.500
# - magnetization (μB per atom) = 0.000
# - density of states at the Fermi level (states/eV per cell) = 4.3
# - V (Å³ per cell) = 109.8

Stability order, top to bottom: #ii, #i

#i
# TeMoI2Cl (PBE, relaxed)
data_TeMoI2Cl
_chemical_formula_sum 'Te1 Mo1 I2 Cl1'
_cell_length_a 5.651
_cell_length_b 5.651
_cell_length_c 4.943
_cell_angle_alpha 90.00
_cell_angle_beta 90.00
_cell_angle_gamma 90.00
_symmetry_space_group_name_H-M 'P 4/m m m'
_symmetry_Int_Tables_number 123
_symmetry_space_group_name_Hall '-P 4 2'
loop_
_atom_site_label
_atom_site_type_symbol
_atom_site_fract_x
_atom_site_fract_y
_atom_site_fract_z
Te1 Te 0.000 0.000 0.000
Mo1 Mo 0.500 0.500 0.500
I1 I 0.000 0.500 0.500
Cl1 Cl 0.500 0.500 0.000
# - magnetization (μB per atom) = 0.199
# - density of states at the Fermi level (states/eV per cell) = 3.4
# - V (Å³ per cell) = 157.8

#ii
# TeMoI2Cl (PBE, relaxed)
data_TeMoI2Cl
_chemical_formula_sum 'Te1 Mo1 I2 Cl1'
_cell_length_a 5.474
_cell_length_b 5.474
_cell_length_c 5.235
_cell_angle_alpha 90.00
_cell_angle_beta 90.00
_cell_angle_gamma 90.00
_symmetry_space_group_name_H-M 'P 4/m m m'
_symmetry_Int_Tables_number 123
_symmetry_space_group_name_Hall '-P 4 2'
loop_
_atom_site_label
_atom_site_type_symbol
_atom_site_fract_x
_atom_site_fract_y
_atom_site_fract_z
Te1 Te 0.000 0.000 0.000
Mo1 Mo 0.000 0.000 0.500
I1 I 0.000 0.500 0.500
Cl1 Cl 0.500 0.500 0.000
# - magnetization (μB per atom) = 0.026
# - density of states at the Fermi level (states/eV per cell) = 3.9
# - V (Å³ per cell) = 156.9

Stability order, top to bottom: #ii, #i

#i
# NaI2NCl (PBE, relaxed)
data_NaI2NCl
_chemical_formula_sum 'Na1 I2 N1 Cl1'
_cell_length_a 6.943
_cell_length_b 6.943
_cell_length_c 3.431
_cell_angle_alpha 90.00
_cell_angle_beta 90.00
_cell_angle_gamma 90.00
_symmetry_space_group_name_H-M 'P 4/m m m'
_symmetry_Int_Tables_number 123
_symmetry_space_group_name_Hall '-P 4 2'
loop_
_atom_site_label
_atom_site_type_symbol
_atom_site_fract_x
_atom_site_fract_y
_atom_site_fract_z
Na1 Na 0.000 0.000 0.000
I1 I 0.000 0.500 0.500
N1 N 0.500 0.500 0.000
Cl1 Cl 0.500 0.500 0.500
# - magnetization (μB per atom) = 0.186
# - density of states at the Fermi level (states/eV per cell) = 4.2
# - V (Å³ per cell) = 165.4

#ii
# NaI2NCl (PBE, relaxed)
data_NaI2NCl
_chemical_formula_sum 'Na1 I2 N1 Cl1'
_cell_length_a 6.016
_cell_length_b 6.016
_cell_length_c 4.838
_cell_angle_alpha 90.00
_cell_angle_beta 90.00
_cell_angle_gamma 90.00
_symmetry_space_group_name_H-M 'P 4/m m m'
_symmetry_Int_Tables_number 123
_symmetry_space_group_name_Hall '-P 4 2'
loop_
_atom_site_label
_atom_site_type_symbol
_atom_site_fract_x
_atom_site_fract_y
_atom_site_fract_z
Na1 Na 0.000 0.000 0.000
I1 I 0.000 0.500 0.000
N1 N 0.000 0.000 0.500
Cl1 Cl 0.500 0.500 0.500
# - magnetization (μB per atom) = 1.007
# - density of states at the Fermi level (states/eV per cell) = 4.2
# - V (Å³ per cell) = 175.1

Stability order, top to bottom: #i, #ii

#i
# NbI2NCl (PBE, relaxed)
data_NbI2NCl
_chemical_formula_sum 'Nb1 I2 N1 Cl1'
_cell_length_a 5.698
_cell_length_b 5.698
_cell_length_c 3.926
_cell_angle_alpha 90.00
_cell_angle_beta 90.00
_cell_angle_gamma 90.00
_symmetry_space_group_name_H-M 'P 4/m m m'
_symmetry_Int_Tables_number 123
_symmetry_space_group_name_Hall '-P 4 2'
loop_
_atom_site_label
_atom_site_type_symbol
_atom_site_fract_x
_atom_site_fract_y
_atom_site_fract_z
Nb1 Nb 0.000 0.000 0.000
I1 I 0.000 0.500 0.000
N1 N 0.000 0.000 0.500
Cl1 Cl 0.500 0.500 0.500
# - magnetization (μB per atom) = 0.099
# - density of states at the Fermi level (states/eV per cell) = 7.1
# - V (Å³ per cell) = 127.5

#ii
# NbI2NCl (PBE, relaxed)
data_NbI2NCl
_chemical_formula_sum 'Nb1 I2 N1 Cl1'
_cell_length_a 6.249
_cell_length_b 6.249
_cell_length_c 3.381
_cell_angle_alpha 90.00
_cell_angle_beta 90.00
_cell_angle_gamma 90.00
_symmetry_space_group_name_H-M 'P 4/m m m'
_symmetry_Int_Tables_number 123
_symmetry_space_group_name_Hall '-P 4 2'
loop_
_atom_site_label
_atom_site_type_symbol
_atom_site_fract_x
_atom_site_fract_y
_atom_site_fract_z
Nb1 Nb 0.000 0.000 0.000
I1 I 0.000 0.500 0.500
N1 N 0.500 0.500 0.000
Cl1 Cl 0.500 0.500 0.500
# - magnetization (μB per atom) = 0.458
# - density of states at the Fermi level (states/eV per cell) = 4.8
# - V (Å³ per cell) = 132.0

Stability order, top to bottom: #i, #ii

#i
# NbIN2Cl (PBE, relaxed)
data_NbIN2Cl
_chemical_formula_sum 'Nb1 I1 N2 Cl1'
_cell_length_a 4.022
_cell_length_b 4.022
_cell_length_c 5.207
_cell_angle_alpha 90.00
_cell_angle_beta 90.00
_cell_angle_gamma 90.00
_symmetry_space_group_name_H-M 'P 4/m m m'
_symmetry_Int_Tables_number 123
_symmetry_space_group_name_Hall '-P 4 2'
loop_
_atom_site_label
_atom_site_type_symbol
_atom_site_fract_x
_atom_site_fract_y
_atom_site_fract_z
Nb1 Nb 0.000 0.000 0.000
I1 I 0.500 0.500 0.000
N1 N 0.000 0.500 0.500
Cl1 Cl 0.500 0.500 0.500
# - magnetization (μB per atom) = 0.000
# - density of states at the Fermi level (states/eV per cell) = 6.0
# - V (Å³ per cell) = 84.2

#ii
# NbIN2Cl (PBE, relaxed)
data_NbIN2Cl
_chemical_formula_sum 'Nb1 I1 N2 Cl1'
_cell_length_a 4.070
_cell_length_b 4.070
_cell_length_c 6.053
_cell_angle_alpha 90.00
_cell_angle_beta 90.00
_cell_angle_gamma 90.00
_symmetry_space_group_name_H-M 'P 4/m m m'
_symmetry_Int_Tables_number 123
_symmetry_space_group_name_Hall '-P 4 2'
loop_
_atom_site_label
_atom_site_type_symbol
_atom_site_fract_x
_atom_site_fract_y
_atom_site_fract_z
Nb1 Nb 0.000 0.000 0.000
I1 I 0.000 0.000 0.500
N1 N 0.000 0.500 0.000
Cl1 Cl 0.500 0.500 0.500
# - magnetization (μB per atom) = 0.125
# - density of states at the Fermi level (states/eV per cell) = 2.8
# - V (Å³ per cell) = 100.3

Stability order, top to bottom: #ii, #i

#i
# OsI2NCl (PBE, relaxed)
data_OsI2NCl
_chemical_formula_sum 'Os1 I2 N1 Cl1'
_cell_length_a 5.592
_cell_length_b 5.592
_cell_length_c 3.722
_cell_angle_alpha 90.00
_cell_angle_beta 90.00
_cell_angle_gamma 90.00
_symmetry_space_group_name_H-M 'P 4/m m m'
_symmetry_Int_Tables_number 123
_symmetry_space_group_name_Hall '-P 4 2'
loop_
_atom_site_label
_atom_site_type_symbol
_atom_site_fract_x
_atom_site_fract_y
_atom_site_fract_z
Os1 Os 0.000 0.000 0.000
I1 I 0.000 0.500 0.000
N1 N 0.000 0.000 0.500
Cl1 Cl 0.500 0.500 0.500
# - magnetization (μB per atom) = 0.000
# - density of states at the Fermi level (states/eV per cell) = 3.4
# - V (Å³ per cell) = 116.4

#ii
# OsI2NCl (PBE, relaxed)
data_OsI2NCl
_chemical_formula_sum 'Os1 I2 N1 Cl1'
_cell_length_a 6.978
_cell_length_b 6.978
_cell_length_c 3.225
_cell_angle_alpha 90.00
_cell_angle_beta 90.00
_cell_angle_gamma 90.00
_symmetry_space_group_name_H-M 'P 4/m m m'
_symmetry_Int_Tables_number 123
_symmetry_space_group_name_Hall '-P 4 2'
loop_
_atom_site_label
_atom_site_type_symbol
_atom_site_fract_x
_atom_site_fract_y
_atom_site_fract_z
Os1 Os 0.000 0.000 0.000
I1 I 0.000 0.500 0.500
N1 N 0.500 0.500 0.000
Cl1 Cl 0.500 0.500 0.500
# - magnetization (μB per atom) = 0.661
# - density of states at the Fermi level (states/eV per cell) = 4.8
# - V (Å³ per cell) = 157.0

Stability order, top to bottom: #i, #ii